(1)
La2MnAs: relaxed, PBE.

Lattice parameters (Å, degrees): 4.293 4.274 6.124 69.58 90.00 90.00
Sites, in units of the cell vectors:
La (0.500, 0.266, 0.342)
La (0.000, 0.982, 0.912)
As (0.500, 0.557, 0.761)
Mn (0.000, 0.695, 0.484)

Mass density ... 6.4 g/cm3
N(E_F) ... 2.24 states/eV per cell
ΔH_f (0 K) ... -0.615 eV per atom
Electronic total energy ... -6.5338 eV per atom

***

(2)
La2MnAs: relaxed, PBE.

Lattice parameters (Å, degrees): 3.538 3.538 8.362 90.00 90.00 90.00
Sites, in units of the cell vectors:
As (0.500, 0.500, 0.686)
La (0.000, 0.000, 0.929)
La (0.500, 0.500, 0.319)
Mn (0.000, 0.000, 0.566)

Mass density ... 6.5 g/cm3
N(E_F) ... 5.08 states/eV per cell
ΔH_f (0 K) ... -0.211 eV per atom
Electronic total energy ... -6.1291 eV per atom